DFT (GGA-PBEsol) results for a relaxed structure of CdReSi3.

Cell and atoms, written as POSCAR:
```
CdReSi3
1.0
4.699 0.000 0.000
0.000 4.699 0.000
0.000 0.000 4.699
Si Re Cd
3 1 1
direct
0.000 0.500 0.000
0.500 0.000 0.000
0.000 0.000 0.500
0.000 0.000 0.000
0.500 0.500 0.500
```

Values from the calculation:
Total magnetization in μB per formula unit: 0.0
DOS(E_F) in states/eV per cell: 2.78
Uncorrected formation energy in eV/atom: 0.453

DFT (GGA-PBEsol) results for a relaxed structure of CrTeP.

Cell and atoms, written as POSCAR:
```
CrTeP
1.0
-3.790 -2.054 -0.130
-0.118 -4.276 -0.552
-1.176 -2.564 3.263
P Te Cr
1 1 1
direct
0.000 0.000 0.000
0.500 0.500 0.500
0.250 0.250 0.250
```

Values from the calculation:
Total magnetization in μB per formula unit: 2.2
DOS(E_F) in states/eV per cell: 1.58
Uncorrected formation energy in eV/atom: 0.182

DFT (GGA-PBEsol) results for a relaxed structure of BaMn2Be.

Cell and atoms, written as POSCAR:
```
BaMn2Be
1.0
-3.566 -0.852 1.294
-1.272 -3.673 -0.084
0.471 -2.349 5.593
Ba Mn Be
1 2 1
direct
0.500 0.500 0.500
0.321 0.321 0.038
0.679 0.679 0.962
0.000 0.000 0.000
```

Values from the calculation:
Total magnetization in μB per formula unit: 0.3
DOS(E_F) in states/eV per cell: 4.80
Energy of formation in meV/atom: 486

DFT (GGA-PBEsol) results for a relaxed structure of Cu3HPd.

Cell and atoms, written as POSCAR:
```
Cu3HPd
1.0
-0.232 -0.338 3.685
2.008 -3.113 -0.159
3.108 1.985 0.378
H Cu Pd
1 3 1
direct
0.000 0.000 0.000
0.500 0.000 0.000
0.000 0.000 0.500
0.000 0.500 0.000
0.500 0.500 0.500
```

Values from the calculation:
Total magnetization in μB per formula unit: 0.0
DOS(E_F) in states/eV per cell: 1.28
Total DFT energy (no corrections) in eV per atom: -4.45